Entry 1:
The following is a DFT calculation (GGA-PBE) of a relaxed structure of Pa2MnAs2N2.

Structure (POSCAR):
```
Pa2MnAs2N2
1.0
10.995 0.000 0.000
0.000 3.848 0.000
-3.588 0.000 5.836
Pa Mn As N
4 2 4 4
Direct
0.193 0.000 0.245 Pa
0.307 0.500 0.755 Pa
0.693 0.500 0.245 Pa
0.807 0.000 0.755 Pa
0.000 0.000 0.500 Mn
0.500 0.500 0.500 Mn
0.058 0.500 0.825 As
0.442 0.000 0.175 As
0.558 0.000 0.825 As
0.942 0.500 0.175 As
0.203 0.000 0.586 N
0.297 0.500 0.414 N
0.703 0.500 0.586 N
0.797 0.000 0.414 N
```

Summary:
As for the formation energy from raw total energies: -1.15 eV per atom. As for the crystal system: monoclinic.

---

Entry 2:
The following is a DFT calculation (GGA-PBE) of a relaxed structure of Pa2MnAsN6.

Structure (POSCAR):
```
Pa2MnAsN6
1.0
2.738 1.581 5.110
-2.738 1.581 5.110
0.000 -3.161 5.110
Pa Mn As N
2 1 1 6
Direct
0.000 0.000 0.000 Pa
0.485 0.485 0.485 Pa
0.695 0.695 0.695 Mn
0.221 0.221 0.221 As
0.043 0.765 0.440 N
0.315 0.562 0.912 N
0.440 0.043 0.765 N
0.562 0.912 0.315 N
0.765 0.440 0.043 N
0.912 0.315 0.562 N
```

Summary:
As for the formation energy from raw total energies: -0.66 eV per atom. As for the crystal system: trigonal.

---

Entry 3:
The following is a DFT calculation (GGA-PBE) of a relaxed structure of MnAsPb2N.

Structure (POSCAR):
```
MnAsPb2N
1.0
5.489 0.000 0.000
0.000 5.489 0.000
0.000 0.000 3.510
Mn As Pb N
1 1 2 1
Direct
0.000 0.000 0.000 Mn
0.500 0.500 0.500 As
0.000 0.500 0.000 Pb
0.500 0.000 0.000 Pb
0.000 0.000 0.500 N
```

Summary:
As for the formation energy from raw total energies: 0.29 eV per atom. As for the crystal system: tetragonal.

---

Entry 4:
The following is a DFT calculation (GGA-PBE) of a relaxed structure of RbMnAs2N.

Structure (POSCAR):
```
RbMnAs2N
1.0
5.146 0.000 0.000
0.000 5.146 0.000
0.000 0.000 3.831
Rb Mn As N
1 1 2 1
Direct
0.000 0.000 0.000 Rb
0.500 0.500 0.000 Mn
0.000 0.500 0.500 As
0.500 0.000 0.500 As
0.500 0.500 0.500 N
```

Summary:
As for the formation energy from raw total energies: 0.60 eV per atom. As for the crystal system: tetragonal.

---

Entry 5:
The following is a DFT calculation (GGA-PBE) of a relaxed structure of MnAsSN2.

Structure (POSCAR):
```
MnAsSN2
1.0
3.652 0.000 0.000
0.000 3.652 0.000
0.000 0.000 5.656
Mn As S N
1 1 1 2
Direct
0.000 0.000 0.000 Mn
0.500 0.500 0.500 As
0.500 0.500 0.000 S
0.000 0.500 0.500 N
0.500 0.000 0.500 N
```

Summary:
As for the formation energy from raw total energies: 1.04 eV per atom. As for the crystal system: tetragonal. The relative energy among the computed polymorphs is 0.313 eV/atom.

---

Entry 6:
The following is a DFT calculation (GGA-PBE) of a relaxed structure of MnAsSN2.

Structure (POSCAR):
```
MnAsSN2
1.0
3.627 0.000 0.000
0.000 3.627 0.000
0.000 0.000 4.940
Mn As S N
1 1 1 2
Direct
0.000 0.000 0.000 Mn
0.500 0.500 0.500 As
0.000 0.000 0.500 S
0.000 0.500 0.000 N
0.500 0.000 0.000 N
```

Summary:
As for the formation energy from raw total energies: 0.73 eV per atom. As for the crystal system: tetragonal. The relative energy among the computed polymorphs is 0.000 eV/atom.

---

Entry 7:
The following is a DFT calculation (GGA-PBE) of a relaxed structure of MnAs2SeN.

Structure (POSCAR):
```
MnAs2SeN
1.0
4.538 0.000 0.000
0.000 4.538 0.000
0.000 0.000 4.427
Mn As Se N
1 2 1 1
Direct
0.000 0.000 0.000 Mn
0.000 0.500 0.000 As
0.500 0.000 0.000 As
0.000 0.000 0.500 Se
0.500 0.500 0.500 N
```

Summary:
As for the formation energy from raw total energies: 1.34 eV per atom. As for the crystal system: tetragonal. The relative energy among the computed polymorphs is 0.549 eV/atom.

---

Entry 8:
The following is a DFT calculation (GGA-PBE) of a relaxed structure of MnAsSeN2.

Structure (POSCAR):
```
MnAsSeN2
1.0
3.671 0.000 0.000
0.000 3.671 0.000
0.000 0.000 5.216
Mn As Se N
1 1 1 2
Direct
0.000 0.000 0.000 Mn
0.500 0.500 0.500 As
0.000 0.000 0.500 Se
0.000 0.500 0.000 N
0.500 0.000 0.000 N
```

Summary:
As for the formation energy from raw total energies: 0.76 eV per atom. As for the crystal system: tetragonal. The relative energy among the computed polymorphs is 0.000 eV/atom.

---

What did the first record say?
The following is a DFT calculation (GGA-PBE) of a relaxed structure of Pa2MnAs2N2.

Structure (POSCAR):
```
Pa2MnAs2N2
1.0
10.995 0.000 0.000
0.000 3.848 0.000
-3.588 0.000 5.836
Pa Mn As N
4 2 4 4
Direct
0.193 0.000 0.245 Pa
0.307 0.500 0.755 Pa
0.693 0.500 0.245 Pa
0.807 0.000 0.755 Pa
0.000 0.000 0.500 Mn
0.500 0.500 0.500 Mn
0.058 0.500 0.825 As
0.442 0.000 0.175 As
0.558 0.000 0.825 As
0.942 0.500 0.175 As
0.203 0.000 0.586 N
0.297 0.500 0.414 N
0.703 0.500 0.586 N
0.797 0.000 0.414 N
```

Summary:
As for the formation energy from raw total energies: -1.15 eV per atom. As for the crystal system: monoclinic.